1.
Na2Zn2GeAu5 | Alexandria | PBE | optimized geometry; total magnetic moment = 0.00 μB/cell; energy relative to the elements = -0.218 eV/atom
1.0
10.617 0.000 0.000
0.000 10.617 0.000
0.000 0.000 3.460
Na Zn Ge Au
4 4 2 10
Cartesian
1.833 3.476 0.000 Na
3.476 8.785 0.000 Na
7.142 1.833 0.000 Na
8.785 7.142 0.000 Na
1.373 6.682 0.000 Zn
3.936 1.373 0.000 Zn
6.682 9.245 0.000 Zn
9.245 3.936 0.000 Zn
0.000 0.000 0.000 Ge
5.309 5.309 0.000 Ge
0.000 5.309 1.730 Au
0.682 8.557 1.730 Au
2.060 0.682 1.730 Au
3.249 5.991 1.730 Au
4.627 3.249 1.730 Au
5.309 0.000 1.730 Au
5.991 7.369 1.730 Au
7.369 4.627 1.730 Au
8.557 9.935 1.730 Au
9.935 2.060 1.730 Au

2.
Na2Zn4Ge3Au | Alexandria | PBE | optimized geometry; total magnetic moment = 0.00 μB/cell; energy relative to the elements = -0.099 eV/atom
1.0
4.247 0.000 0.000
0.000 4.247 0.000
0.000 0.000 11.011
Na Zn Ge Au
2 4 3 1
Cartesian
0.000 2.123 2.742 Na
2.123 0.000 8.268 Na
0.000 0.000 0.000 Zn
0.000 2.123 7.061 Zn
2.123 0.000 3.950 Zn
2.123 2.123 0.000 Zn
0.000 2.123 9.519 Ge
2.123 0.000 1.492 Ge
2.123 2.123 5.505 Ge
0.000 0.000 5.505 Au

3.
NaZn2GeAu | Alexandria | PBE | optimized geometry; total magnetic moment = 0.00 μB/cell; energy relative to the elements = 0.853 eV/atom
1.0
4.941 0.000 0.000
0.000 4.941 0.000
0.000 0.000 5.039
Na Zn Ge Au
1 2 1 1
Cartesian
0.000 0.000 0.000 Na
0.000 2.471 0.000 Zn
2.471 0.000 0.000 Zn
2.471 2.471 2.519 Ge
0.000 0.000 2.519 Au

4.
NaZn2GeAu4 | Alexandria | PBE | optimized geometry; total magnetic moment = 0.00 μB/cell; energy relative to the elements = -0.108 eV/atom
1.0
2.285 1.319 7.963
-2.285 1.319 7.963
0.000 -2.639 7.963
Na Zn Ge Au
1 2 1 4
Cartesian
0.000 0.000 0.000 Na
0.000 0.000 6.326 Zn
0.000 0.000 17.562 Zn
0.000 0.000 11.944 Ge
0.000 0.000 2.998 Au
0.000 0.000 9.236 Au
0.000 0.000 14.652 Au
0.000 0.000 20.891 Au

5.
NaZnGeAu3 | Alexandria | PBE | optimized geometry; total magnetic moment = 0.00 μB/cell; energy relative to the elements = -0.113 eV/atom
1.0
3.538 -6.128 0.000
3.538 6.128 0.000
0.000 0.000 5.840
Na Zn Ge Au
2 2 2 6
Cartesian
3.538 3.657 4.380 Na
3.538 -3.657 1.460 Na
3.538 0.708 4.380 Zn
3.538 -0.708 1.460 Zn
3.538 4.488 1.460 Ge
3.538 -4.488 4.380 Ge
1.482 0.000 0.000 Au
1.482 0.000 2.920 Au
3.538 1.984 1.460 Au
3.538 -1.984 4.380 Au
5.594 0.000 0.000 Au
5.594 0.000 2.920 Au

6.
Nb2Ge2Au | Alexandria | PBE | optimized geometry; total magnetic moment = 0.00 μB/cell; energy relative to the elements = -0.073 eV/atom
1.0
7.299 0.000 0.000
0.000 7.299 0.000
0.000 0.000 3.434
Nb Ge Au
4 4 2
Cartesian
0.971 2.679 0.000 Nb
2.679 6.328 0.000 Nb
4.621 0.971 0.000 Nb
6.328 4.621 0.000 Nb
1.192 4.842 1.717 Ge
2.458 1.192 1.717 Ge
4.842 6.107 1.717 Ge
6.107 2.458 1.717 Ge
0.000 0.000 0.000 Au
3.650 3.650 0.000 Au

7.
NbGe2Au2 | Alexandria | PBE | optimized geometry; total magnetic moment = 0.00 μB/cell; energy relative to the elements = 0.096 eV/atom
1.0
7.398 0.000 0.000
0.000 7.398 0.000
0.000 0.000 3.279
Nb Ge Au
2 4 4
Cartesian
0.000 0.000 0.000 Nb
3.699 3.699 0.000 Nb
1.155 2.545 0.000 Ge
2.545 6.244 0.000 Ge
4.854 1.155 0.000 Ge
6.244 4.854 0.000 Ge
1.084 4.783 1.639 Au
2.615 1.084 1.639 Au
4.783 6.315 1.639 Au
6.315 2.615 1.639 Au

8.
Nb2GeAu2 | Alexandria | PBE | optimized geometry; total magnetic moment = 0.00 μB/cell; energy relative to the elements = 0.040 eV/atom
1.0
6.790 0.000 0.000
0.000 6.790 0.000
0.000 0.000 4.178
Nb Ge Au
4 2 4
Cartesian
0.976 2.419 0.000 Nb
2.419 5.814 0.000 Nb
4.372 0.976 0.000 Nb
5.814 4.372 0.000 Nb
0.000 0.000 0.000 Ge
3.395 3.395 0.000 Ge
1.018 4.413 2.089 Au
2.377 1.018 2.089 Au
4.413 5.773 2.089 Au
5.773 2.377 2.089 Au